(1)
First-principles (PBE-GGA) data for a relaxed ZrMnCoTc crystal, as listed in Alexandria.

Unit cell a=4.3825 b=4.3825 c=4.3825 alpha=60.00 beta=60.00 gamma=60.00
Last column: magnetic moment on the atom in μB.
Fractional coordinates of all 4 atoms:
Mn1 0.7500 0.7500 0.7500  2.96
Co1 0.0000 0.0000 0.0000  0.81
Tc1 0.5000 0.5000 0.5000  -0.21
Zr1 0.2500 0.2500 0.2500  -0.10

ΔE_f: -0.04 eV per atom
Uncorrected energy: -8.8358 eV per atom
Size of the total moment: 0.86 μB per atom

---

(2)
First-principles (PBE-GGA) data for a relaxed Pu5Hg3Bi12 crystal, as listed in Alexandria.

Unit cell a=15.9686 b=15.9686 c=15.9686 alpha=109.47 beta=109.47 gamma=109.47
Last column: magnetic moment on the atom in μB.
Fractional coordinates of all 80 atoms:
Hg1 0.7500 0.3750 0.1250  -0.01
Hg2 0.8750 0.7500 0.1250  -0.01
Hg3 0.3750 0.7500 0.6250  -0.01
Hg4 0.2500 0.1250 0.3750  -0.01
Hg5 0.8750 0.1250 0.2500  -0.01
Hg6 0.3750 0.6250 0.2500  -0.01
Hg7 0.6250 0.3750 0.7500  -0.01
Hg8 0.1250 0.8750 0.7500  -0.01
Hg9 0.7500 0.8750 0.6250  -0.01
Hg10 0.6250 0.2500 0.3750  -0.01
Hg11 0.1250 0.2500 0.8750  -0.01
Hg12 0.2500 0.6250 0.8750  -0.01
Pu1 0.1250 0.3750 0.2500  -5.53
Pu2 0.0000 0.5000 0.0000  -5.36
Pu3 0.0000 0.0000 0.0000  -5.36
Pu4 0.3750 0.2500 0.1250  -5.53
Pu5 0.5000 0.0000 0.5000  -5.36
Pu6 0.5000 0.5000 0.0000  -5.36
Pu7 0.1250 0.7500 0.3750  -5.53
Pu8 0.7500 0.1250 0.8750  -5.53
Pu9 0.7500 0.6250 0.3750  -5.53
Pu10 0.3750 0.1250 0.7500  -5.53
Pu11 0.6250 0.8750 0.2500  -5.53
Pu12 0.5000 0.5000 0.5000  -5.36
Pu13 0.5000 0.0000 0.0000  -5.36
Pu14 0.0000 0.0000 0.5000  -5.36
Pu15 0.2500 0.3750 0.6250  -5.53
Pu16 0.2500 0.8750 0.1250  -5.53
Pu17 0.0000 0.5000 0.5000  -5.36
Pu18 0.8750 0.2500 0.6250  -5.53
Pu19 0.6250 0.7500 0.8750  -5.53
Pu20 0.8750 0.6250 0.7500  -5.53
Bi1 0.7348 0.1070 0.0619  0.01
Bi2 0.3271 0.5619 0.4549  0.01
Bi3 0.9381 0.3930 0.2652  0.01
Bi4 0.5619 0.2348 0.1070  0.01
Bi5 0.6278 0.7348 0.6729  0.01
Bi6 0.9381 0.5451 0.1729  0.01
Bi7 0.3271 0.7652 0.3722  0.01
Bi8 0.0451 0.8722 0.1070  0.01
Bi9 0.5451 0.9381 0.6729  0.01
Bi10 0.7348 0.6278 0.1729  0.01
Bi11 0.7652 0.4381 0.3930  0.01
Bi12 0.8271 0.9549 0.0619  0.01
Bi13 0.1070 0.7348 0.5619  0.01
Bi14 0.3930 0.4549 0.1278  0.01
Bi15 0.1278 0.9549 0.3930  0.01
Bi16 0.3722 0.1070 0.5451  0.01
Bi17 0.1278 0.1729 0.2348  0.01
Bi18 0.4381 0.6729 0.0451  0.01
Bi19 0.8271 0.8722 0.2652  0.01
Bi20 0.1070 0.3722 0.0451  0.01
Bi21 0.3930 0.9381 0.7652  0.01
Bi22 0.5451 0.6070 0.3722  0.01
Bi23 0.9549 0.8271 0.5619  0.01
Bi24 0.7652 0.3271 0.8722  0.01
Bi25 0.4549 0.3930 0.6278  0.01
Bi26 0.0451 0.1729 0.4381  0.01
Bi27 0.2348 0.6729 0.1278  0.01
Bi28 0.1729 0.1278 0.7348  0.01
Bi29 0.6070 0.0619 0.2348  0.01
Bi30 0.8930 0.6278 0.9549  0.01
Bi31 0.5619 0.3271 0.9549  0.01
Bi32 0.6278 0.8930 0.4549  0.01
Bi33 0.8722 0.8271 0.7652  0.01
Bi34 0.8722 0.0451 0.6070  0.01
Bi35 0.8930 0.2652 0.4381  0.01
Bi36 0.1729 0.0451 0.9381  0.01
Bi37 0.6070 0.5451 0.8722  0.01
Bi38 0.4549 0.0619 0.3271  0.01
Bi39 0.2652 0.3722 0.8271  0.01
Bi40 0.2348 0.5619 0.6070  0.01
Bi41 0.9549 0.1278 0.8930  0.01
Bi42 0.6729 0.2348 0.6278  0.01
Bi43 0.4381 0.7652 0.8930  0.01
Bi44 0.0619 0.4549 0.8271  0.01
Bi45 0.3722 0.2652 0.3271  0.01
Bi46 0.0619 0.6070 0.7348  0.01
Bi47 0.6729 0.4381 0.5451  0.01
Bi48 0.2652 0.8930 0.9381  0.01

ΔE_f: 0.29 eV per atom
Uncorrected energy: -5.6692 eV per atom
Size of the total moment: 1.41 μB per atom

---

(3)
First-principles (PBE-GGA) data for a relaxed Er8AgGe3Te4 crystal, as listed in Alexandria.

Unit cell a=8.4301 b=8.5490 c=8.4304 alpha=119.55 beta=120.00 gamma=90.00
Fractional coordinates of all 16 atoms:
Er1 0.2475 0.7253 0.9778
Er2 0.2475 0.7253 0.4949
Er3 0.2609 0.2826 0.5217
Er4 0.7303 0.7253 0.9778
Er5 0.2697 0.2747 0.0222
Er6 0.7391 0.7174 0.4783
Er7 0.7525 0.2747 0.5051
Er8 0.7525 0.2747 0.0222
Ag1 0.0000 0.5000 0.0000
Ge1 0.5000 0.5000 0.0000
Ge2 0.5000 0.5000 0.5000
Ge3 0.0000 0.5000 0.5000
Te1 0.5000 0.0000 0.0000
Te2 0.5000 0.0000 0.5000
Te3 0.0000 0.0000 0.0000
Te4 0.0000 0.0000 0.5000

Uncorrected energy: -5.1401 eV per atom
Size of the total moment: 0.00 μB per atom
Energy relative to the elements, uncorrected: -1.029 eV per atom

---

(4)
First-principles (PBE-GGA) data for a relaxed K2RbCa crystal, as listed in Alexandria.

Unit cell a=11.3269 b=11.3269 c=9.1057 alpha=51.54 beta=51.54 gamma=90.00
Fractional coordinates of all 8 atoms:
Ca1 0.5000 0.5000 0.0000
Ca2 0.2500 0.7500 0.5000
K1 0.6193 0.1250 0.2500
K2 0.1307 0.6250 0.2500
K3 0.3750 0.3807 0.7500
K4 0.8750 0.8693 0.7500
Rb1 0.0000 0.0000 0.0000
Rb2 0.7500 0.2500 0.5000

ΔE_f: 0.25 eV per atom
Uncorrected energy: -1.0378 eV per atom
Size of the total moment: 0.00 μB per atom

---

(5)
First-principles (PBE-GGA) data for a relaxed CaSb2RuI crystal, as listed in Alexandria.

Unit cell a=5.8093 b=5.8093 c=5.7226 alpha=90.00 beta=90.00 gamma=90.00
Last column: magnetic moment on the atom in μB.
Fractional coordinates of all 5 atoms:
I1 0.0000 0.0000 0.5000  -0.01
Sb1 0.0000 0.5000 0.0000  -0.08
Sb2 0.5000 0.0000 0.0000  -0.08
Ca1 0.0000 0.0000 0.0000  0.00
Ru1 0.5000 0.5000 0.5000  2.64

Uncorrected energy: -3.0413 eV per atom
Size of the total moment: 0.51 μB per atom
Energy relative to the elements, uncorrected: 1.173 eV per atom

---

(6)
First-principles (PBE-GGA) data for a relaxed Pm3SnS crystal, as listed in Alexandria.

Unit cell a=5.5953 b=6.6537 c=11.6608 alpha=131.48 beta=90.00 gamma=90.00
Fractional coordinates of all 10 atoms:
Pm1 0.7500 0.0170 0.6624
Pm2 0.7500 0.3976 0.5768
Pm3 0.2500 0.9830 0.3376
Pm4 0.2500 0.6024 0.4232
Pm5 0.2500 0.8942 0.8468
Pm6 0.7500 0.1058 0.1532
Sn1 0.2500 0.2804 0.7078
Sn2 0.7500 0.7196 0.2922
S1 0.2500 0.0617 0.1348
S2 0.7500 0.9383 0.8652

Uncorrected energy: -5.3678 eV per atom
Size of the total moment: 0.00 μB per atom
Energy relative to the elements, uncorrected: -0.891 eV per atom

---

Number 5 is which compound? CaSb2RuI

---

What is the uncorrected energy in the second record? -5.6692 eV per atom